Entry from Alexandria via LeMat-Bulk: NaNiSeO4 after structural relaxation (PBE+U).

a b c (Å): 6.1860 6.2477 8.5095
angles (deg): 90.00 90.00 90.00
Space group Imma (No. 74)
Symmetry-distinct sites (fractional):
Na: 0.0000 0.0000 0.0000 [4 per cell]
Ni: 0.2500 0.2500 0.2500 [4 per cell]
Se: 0.0000 0.2500 0.6390 [4 per cell]
O: 0.0000 0.0381 0.2652 [8 per cell]
O: 0.2217 0.2500 0.5204 [8 per cell]

Values from the calculation:
- energy (eV/atom) = -4.82